No. 1
! MoS2BrCl PBE-GGA relaxed; values from VASP
&SYSTEM
  ibrav = 0, nat = 5, ntyp = 4
/
ATOMIC_SPECIES
Mo 95.94 Mo.upf
S 32.06 S.upf
Br 79.90 Br.upf
Cl 35.45 Cl.upf
CELL_PARAMETERS angstrom
-4.7332 -0.9987 -0.8727
-0.6885 -0.9140 4.7805
-1.1519 4.8021 0.7522
ATOMIC_POSITIONS crystal
Mo 0.5000 0.5000 0.5000
S 0.0000 0.5000 0.0000
S 0.5000 0.0000 0.0000
Br 0.0000 0.0000 0.0000
Cl 0.0000 0.0000 0.5000
! * theoretical density: 3.8 Mg/m³
! * V: 120.7 Å³/f.u.
! * formation energy without anion corrections: 1.32 eV per atom
! * energy relative to the lowest polymorph listed for this composition: 1327 meV/atom

***

No. 2
! MoS2BrCl PBE-GGA relaxed; values from VASP
&SYSTEM
  ibrav = 0, nat = 5, ntyp = 4
/
ATOMIC_SPECIES
Mo 95.94 Mo.upf
S 32.06 S.upf
Br 79.90 Br.upf
Cl 35.45 Cl.upf
CELL_PARAMETERS angstrom
-2.8598 3.6449 -0.7724
-1.5774 -0.3023 4.4137
3.4773 3.0356 1.4506
ATOMIC_POSITIONS crystal
Mo 0.0000 0.0000 0.0000
S 0.0000 0.5000 0.0000
S 0.5000 0.0000 0.0000
Br 0.5000 0.5000 0.5000
Cl 0.0000 0.0000 0.5000
! * theoretical density: 4.3 Mg/m³
! * V: 106.7 Å³/f.u.
! * formation energy without anion corrections: -0.01 eV per atom
! * energy relative to the lowest polymorph listed for this composition: 0 meV/atom

***

No. 3
! MoSeBr2Cl PBE-GGA relaxed; values from VASP
&SYSTEM
  ibrav = 0, nat = 5, ntyp = 4
/
ATOMIC_SPECIES
Mo 95.94 Mo.upf
Se 78.96 Se.upf
Br 79.90 Br.upf
Cl 35.45 Cl.upf
CELL_PARAMETERS angstrom
5.0993 0.0000 0.0000
0.0000 5.0993 0.0000
0.0000 0.0000 5.3790
ATOMIC_POSITIONS crystal
Mo 0.5000 0.5000 0.5000
Se 0.0000 0.0000 0.5000
Br 0.0000 0.5000 0.0000
Br 0.5000 0.0000 0.0000
Cl 0.0000 0.0000 0.0000
! * theoretical density: 4.4 Mg/m³
! * V: 139.9 Å³/f.u.
! * formation energy without anion corrections: 1.14 eV per atom
! * energy relative to the lowest polymorph listed for this composition: 1101 meV/atom

***

No. 4
! MoSeBr2Cl PBE-GGA relaxed; values from VASP
&SYSTEM
  ibrav = 0, nat = 5, ntyp = 4
/
ATOMIC_SPECIES
Mo 95.94 Mo.upf
Se 78.96 Se.upf
Br 79.90 Br.upf
Cl 35.45 Cl.upf
CELL_PARAMETERS angstrom
-3.6635 2.8517 2.0666
1.7504 -1.1132 4.6390
2.9331 3.8932 -0.1725
ATOMIC_POSITIONS crystal
Mo 0.0000 0.0000 0.0000
Se 0.0000 0.0000 0.5000
Br 0.0000 0.5000 0.0000
Br 0.5000 0.0000 0.0000
Cl 0.5000 0.5000 0.5000
! * theoretical density: 4.9 Mg/m³
! * V: 126.0 Å³/f.u.
! * formation energy without anion corrections: 0.04 eV per atom
! * energy relative to the lowest polymorph listed for this composition: 0 meV/atom

***

No. 5
! SrMoBr2Cl PBE-GGA relaxed; values from VASP
&SYSTEM
  ibrav = 0, nat = 5, ntyp = 4
/
ATOMIC_SPECIES
Sr 87.62 Sr.upf
Mo 95.94 Mo.upf
Br 79.90 Br.upf
Cl 35.45 Cl.upf
CELL_PARAMETERS angstrom
6.3304 0.0000 0.0000
0.0000 4.6142 0.0000
0.0000 0.0000 6.3304
ATOMIC_POSITIONS crystal
Sr 0.5000 0.5000 0.5000
Mo 0.0000 0.5000 0.0000
Br 0.0000 0.0000 0.5000
Br 0.5000 0.0000 0.0000
Cl 0.0000 0.0000 0.0000
! * theoretical density: 3.4 Mg/m³
! * V: 184.9 Å³/f.u.
! * formation energy without anion corrections: -0.09 eV per atom

***

No. 6
! Tl2MoBr4Cl2 PBE-GGA relaxed; values from VASP
&SYSTEM
  ibrav = 0, nat = 9, ntyp = 4
/
ATOMIC_SPECIES
Tl 204.38 Tl.upf
Mo 95.94 Mo.upf
Br 79.90 Br.upf
Cl 35.45 Cl.upf
CELL_PARAMETERS angstrom
0.2359 -7.2003 2.4873
4.2858 -4.9328 -3.1559
5.6543 -2.4808 3.8125
ATOMIC_POSITIONS crystal
Tl 0.2418 0.7507 0.7507
Tl 0.7582 0.2493 0.2493
Mo 0.5000 0.0000 0.0000
Br 0.2985 0.7253 0.2067
Br 0.7015 0.7933 0.2747
Br 0.7015 0.2747 0.7933
Br 0.2985 0.2067 0.7253
Cl 0.2073 0.2360 0.2360
Cl 0.7927 0.7640 0.7640
! * theoretical density: 5.3 Mg/m³
! * V: 282.8 Å³/f.u.
! * formation energy without anion corrections: -0.78 eV per atom

***

No. 7
! Tl2MoBr2Cl4 PBE-GGA relaxed; values from VASP
&SYSTEM
  ibrav = 0, nat = 9, ntyp = 4
/
ATOMIC_SPECIES
Tl 204.38 Tl.upf
Mo 95.94 Mo.upf
Br 79.90 Br.upf
Cl 35.45 Cl.upf
CELL_PARAMETERS angstrom
-5.7793 -1.7851 -3.9714
0.8589 -4.4220 -5.7740
-2.3660 -6.9304 0.0465
ATOMIC_POSITIONS crystal
Tl 0.2763 0.7507 0.7507
Tl 0.7237 0.2493 0.2493
Mo 0.5000 0.0000 0.0000
Br 0.2039 0.2386 0.2386
Br 0.7961 0.7614 0.7614
Cl 0.2977 0.7344 0.2083
Cl 0.7023 0.7917 0.2656
Cl 0.7023 0.2656 0.7917
Cl 0.2977 0.2083 0.7344
! * theoretical density: 4.9 Mg/m³
! * V: 273.3 Å³/f.u.
! * formation energy without anion corrections: -0.87 eV per atom

***

No. 8
! Tl3MoBr2Cl6 PBE-GGA relaxed; values from VASP
&SYSTEM
  ibrav = 0, nat = 12, ntyp = 4
/
ATOMIC_SPECIES
Tl 204.38 Tl.upf
Mo 95.94 Mo.upf
Br 79.90 Br.upf
Cl 35.45 Cl.upf
CELL_PARAMETERS angstrom
-3.8713 4.3960 0.9895
-3.2869 -4.4199 6.7763
6.8125 5.6792 1.3821
ATOMIC_POSITIONS crystal
Tl 0.0000 0.5000 0.0000
Tl 0.5000 0.5000 0.5000
Tl 0.5000 0.0000 0.5000
Mo 0.5000 0.0000 0.0000
Br 0.1482 0.6907 0.3815
Br 0.8518 0.3093 0.6185
Cl 0.7241 0.2566 0.1298
Cl 0.2759 0.7434 0.8702
Cl 0.7313 0.8777 0.7554
Cl 0.2687 0.1223 0.2446
Cl 0.2759 0.1268 0.8702
Cl 0.7241 0.8732 0.1298
! * theoretical density: 4.4 Mg/m³
! * V: 406.9 Å³/f.u.
! * formation energy without anion corrections: -0.84 eV per atom

***

No. 9
! Mo2WBrCl PBE-GGA relaxed; values from VASP
&SYSTEM
  ibrav = 0, nat = 5, ntyp = 4
/
ATOMIC_SPECIES
Mo 95.94 Mo.upf
Br 79.90 Br.upf
W 183.84 W.upf
Cl 35.45 Cl.upf
CELL_PARAMETERS angstrom
4.5809 0.0000 0.0000
0.0000 5.0482 0.0000
0.0000 0.0000 4.5809
ATOMIC_POSITIONS crystal
Mo 0.0000 0.0000 0.5000
Mo 0.5000 0.0000 0.0000
Br 0.0000 0.0000 0.0000
W 0.5000 0.5000 0.5000
Cl 0.0000 0.5000 0.0000
! * theoretical density: 7.7 Mg/m³
! * V: 105.9 Å³/f.u.
! * formation energy without anion corrections: 2.44 eV per atom

***

No. 10
! Y2MoBrCl PBE-GGA relaxed; values from VASP
&SYSTEM
  ibrav = 0, nat = 5, ntyp = 4
/
ATOMIC_SPECIES
Y 88.91 Y.upf
Mo 95.94 Mo.upf
Br 79.90 Br.upf
Cl 35.45 Cl.upf
CELL_PARAMETERS angstrom
-2.6275 3.9125 2.5016
-5.0414 -2.6781 -1.1066
0.4076 -2.6689 4.6022
ATOMIC_POSITIONS crystal
Y 0.0000 0.0000 0.5000
Y 0.5000 0.0000 0.0000
Mo 0.5000 0.5000 0.5000
Br 0.0000 0.0000 0.0000
Cl 0.0000 0.5000 0.0000
! * theoretical density: 3.9 Mg/m³
! * V: 165.5 Å³/f.u.
! * formation energy without anion corrections: 0.62 eV per atom

***

No. 11
! ZnMoBrCl2 PBE-GGA relaxed; values from VASP
&SYSTEM
  ibrav = 0, nat = 5, ntyp = 4
/
ATOMIC_SPECIES
Mo 95.94 Mo.upf
Zn 65.41 Zn.upf
Br 79.90 Br.upf
Cl 35.45 Cl.upf
CELL_PARAMETERS angstrom
4.5789 0.0000 0.0000
0.0000 5.6392 0.0000
0.0000 0.0000 4.5789
ATOMIC_POSITIONS crystal
Mo 0.0000 0.0000 0.0000
Zn 0.0000 0.5000 0.0000
Br 0.5000 0.5000 0.5000
Cl 0.0000 0.0000 0.5000
Cl 0.5000 0.0000 0.0000
! * theoretical density: 4.4 Mg/m³
! * V: 118.2 Å³/f.u.
! * formation energy without anion corrections: -0.09 eV per atom

***

No. 12
! NaBrNCl2 PBE-GGA relaxed; values from VASP
&SYSTEM
  ibrav = 0, nat = 5, ntyp = 4
/
ATOMIC_SPECIES
Na 22.99 Na.upf
N 14.01 N.upf
Br 79.90 Br.upf
Cl 35.45 Cl.upf
CELL_PARAMETERS angstrom
-3.9856 -1.2350 0.3402
1.2011 -5.3131 -5.2170
1.0939 -2.7026 3.0042
ATOMIC_POSITIONS crystal
Na 0.0000 0.5000 0.0000
N 0.0000 0.0000 0.0000
Br 0.5000 0.5000 0.5000
Cl 0.0000 0.0000 0.5000
Cl 0.5000 0.0000 0.0000
! * theoretical density: 2.4 Mg/m³
! * V: 132.2 Å³/f.u.
! * formation energy without anion corrections: 0.31 eV per atom

***

No. 13
! P2BrNCl PBE-GGA relaxed; values from VASP
&SYSTEM
  ibrav = 0, nat = 5, ntyp = 4
/
ATOMIC_SPECIES
P 30.97 P.upf
N 14.01 N.upf
Br 79.90 Br.upf
Cl 35.45 Cl.upf
CELL_PARAMETERS angstrom
4.9889 0.0000 0.0000
0.0000 4.9889 0.0000
0.0000 0.0000 4.9623
ATOMIC_POSITIONS crystal
P 0.0000 0.5000 0.0000
P 0.5000 0.0000 0.0000
N 0.5000 0.5000 0.5000
Br 0.0000 0.0000 0.0000
Cl 0.0000 0.0000 0.5000
! * theoretical density: 2.6 Mg/m³
! * V: 123.5 Å³/f.u.
! * formation energy without anion corrections: 2.46 eV per atom
! * energy relative to the lowest polymorph listed for this composition: 1209 meV/atom

***

No. 14
! P2BrNCl PBE-GGA relaxed; values from VASP
&SYSTEM
  ibrav = 0, nat = 5, ntyp = 4
/
ATOMIC_SPECIES
P 30.97 P.upf
N 14.01 N.upf
Br 79.90 Br.upf
Cl 35.45 Cl.upf
CELL_PARAMETERS angstrom
4.3871 0.0000 0.0000
0.0000 4.3871 0.0000
0.0000 0.0000 4.3122
ATOMIC_POSITIONS crystal
P 0.0000 0.5000 0.0000
P 0.5000 0.0000 0.0000
N 0.0000 0.0000 0.0000
Br 0.5000 0.5000 0.5000
Cl 0.0000 0.0000 0.5000
! * theoretical density: 3.8 Mg/m³
! * V: 83.0 Å³/f.u.
! * formation energy without anion corrections: 1.25 eV per atom
! * energy relative to the lowest polymorph listed for this composition: 0 meV/atom

***

No. 15
! Pr2BrNCl PBE-GGA relaxed; values from VASP
&SYSTEM
  ibrav = 0, nat = 10, ntyp = 4
/
ATOMIC_SPECIES
Pr 140.91 Pr.upf
Br 79.90 Br.upf
N 14.01 N.upf
Cl 35.45 Cl.upf
CELL_PARAMETERS angstrom
3.9956 0.0000 0.0000
1.9978 7.9819 -0.2688
1.9978 1.0406 8.8066
ATOMIC_POSITIONS crystal
Pr 0.4121 0.8737 0.3022
Pr 0.5879 0.1263 0.6978
Pr 0.8709 0.2068 0.0514
Pr 0.1291 0.7932 0.9486
Br 0.8220 0.7762 0.5798
Br 0.1780 0.2238 0.4202
N 0.0512 0.0656 0.8319
N 0.9488 0.9344 0.1681
Cl 0.3625 0.4328 0.8422
Cl 0.6375 0.5672 0.1578
! * theoretical density: 4.8 Mg/m³
! * V: 141.0 Å³/f.u.
! * formation energy without anion corrections: -1.70 eV per atom

***

No. 16
! Rb2Br6NCl PBE-GGA relaxed; values from VASP
&SYSTEM
  ibrav = 0, nat = 10, ntyp = 4
/
ATOMIC_SPECIES
N 14.01 N.upf
Br 79.90 Br.upf
Rb 85.47 Rb.upf
Cl 35.45 Cl.upf
CELL_PARAMETERS angstrom
7.7236 0.0000 0.0000
0.0000 7.7236 0.0000
3.8618 3.8618 4.9883
ATOMIC_POSITIONS crystal
N 0.5000 0.5000 0.0000
Br 0.2603 0.2603 0.4795
Br 0.7397 0.7397 0.5205
Br 0.2791 0.2791 0.0000
Br 0.7209 0.7209 0.0000
Br 0.7209 0.2791 0.0000
Br 0.2791 0.7209 0.0000
Rb 0.7500 0.2500 0.5000
Rb 0.2500 0.7500 0.5000
Cl 0.0000 0.0000 0.0000
! * theoretical density: 3.9 Mg/m³
! * V: 297.6 Å³/f.u.
! * formation energy without anion corrections: -0.21 eV per atom

***

No. 17
! Rb2BrNCl6 PBE-GGA relaxed; values from VASP
&SYSTEM
  ibrav = 0, nat = 10, ntyp = 4
/
ATOMIC_SPECIES
N 14.01 N.upf
Br 79.90 Br.upf
Rb 85.47 Rb.upf
Cl 35.45 Cl.upf
CELL_PARAMETERS angstrom
7.5274 0.0000 0.0000
0.0000 7.5274 0.0000
3.7637 3.7637 4.5469
ATOMIC_POSITIONS crystal
N 0.5000 0.5000 0.0000
Br 0.0000 0.0000 0.0000
Rb 0.7500 0.2500 0.5000
Rb 0.2500 0.7500 0.5000
Cl 0.2634 0.2634 0.4732
Cl 0.7366 0.7366 0.5268
Cl 0.2850 0.2850 0.0000
Cl 0.7150 0.7150 0.0000
Cl 0.7150 0.2850 0.0000
Cl 0.2850 0.7150 0.0000
! * theoretical density: 3.1 Mg/m³
! * V: 257.6 Å³/f.u.
! * formation energy without anion corrections: -0.31 eV per atom

***

No. 18
! RbBrNCl2 PBE-GGA relaxed; values from VASP
&SYSTEM
  ibrav = 0, nat = 5, ntyp = 4
/
ATOMIC_SPECIES
N 14.01 N.upf
Br 79.90 Br.upf
Rb 85.47 Rb.upf
Cl 35.45 Cl.upf
CELL_PARAMETERS angstrom
6.4910 0.0000 0.0000
0.0000 6.9879 0.0000
0.0000 0.0000 6.4910
ATOMIC_POSITIONS crystal
N 0.5000 0.5000 0.5000
Br 0.0000 0.5000 0.0000
Rb 0.0000 0.0000 0.0000
Cl 0.0000 0.0000 0.5000
Cl 0.5000 0.0000 0.0000
! * theoretical density: 1.4 Mg/m³
! * V: 294.4 Å³/f.u.
! * formation energy without anion corrections: 0.80 eV per atom

***

No. 19
! RhBr2NCl PBE-GGA relaxed; values from VASP
&SYSTEM
  ibrav = 0, nat = 5, ntyp = 4
/
ATOMIC_SPECIES
N 14.01 N.upf
Rh 102.91 Rh.upf
Br 79.90 Br.upf
Cl 35.45 Cl.upf
CELL_PARAMETERS angstrom
-5.0601 0.4432 -1.6259
-0.7743 -3.2493 1.5241
-1.2549 2.4434 4.5716
ATOMIC_POSITIONS crystal
N 0.0000 0.5000 0.0000
Rh 0.0000 0.0000 0.0000
Br 0.0000 0.0000 0.5000
Br 0.5000 0.0000 0.0000
Cl 0.5000 0.5000 0.5000
! * theoretical density: 5.0 Mg/m³
! * V: 104.4 Å³/f.u.
! * formation energy without anion corrections: 0.54 eV per atom

***

No. 20
! Sc2BrNCl PBE-GGA relaxed; values from VASP
&SYSTEM
  ibrav = 0, nat = 5, ntyp = 4
/
ATOMIC_SPECIES
Sc 44.96 Sc.upf
N 14.01 N.upf
Br 79.90 Br.upf
Cl 35.45 Cl.upf
CELL_PARAMETERS angstrom
-4.3216 -2.5897 -0.1384
1.2772 -1.8889 -4.5350
2.2622 -3.8959 2.2598
ATOMIC_POSITIONS crystal
Sc 0.0000 0.0000 0.5000
Sc 0.5000 0.0000 0.0000
N 0.5000 0.5000 0.5000
Br 0.0000 0.0000 0.0000
Cl 0.0000 0.5000 0.0000
! * theoretical density: 2.8 Mg/m³
! * V: 128.9 Å³/f.u.
! * formation energy without anion corrections: 1.05 eV per atom
! * energy relative to the lowest polymorph listed for this composition: 1674 meV/atom